Below is an optimized crystal structure of Ti2TcMo6, with properties calculated at the PBE level.

abc: 4.982 5.100 6.421
angles: 101.30 112.81 90.07
Space group P-1 (No. 2)
Unique sites:
Ti  0.106  0.065  0.210 (multiplicity 2)
Tc  0.500  0.000  0.000 (multiplicity 1)
Mo  0.240  0.500  0.000 (multiplicity 2)
Mo  0.266  0.635  0.532 (multiplicity 2)
Mo  0.313  0.155  0.627 (multiplicity 2)

Calculated values
For the magnetization, the calculation gives 0.0 μB per formula unit. The energy relative to the elements is 0.1660 eV/atom.

Below is an optimized crystal structure of Ba5PbS8, with properties calculated at the PBE level.

abc: 9.130 9.130 10.188
angles: 90.00 90.00 90.00
Space group I-4 (No. 82)
Unique sites:
Ba  0.000  0.000  0.000 (multiplicity 2)
Ba  0.124  0.249  0.624 (multiplicity 8)
Pb  0.000  0.500  0.250 (multiplicity 2)
S  0.099  0.195  0.309 (multiplicity 8)
S  0.108  0.316  0.931 (multiplicity 8)

Calculated values
Its formation energy (no corrections) is -1313 meV/atom. For the magnetization, the calculation gives 3.9 μB per formula unit.

Below is an optimized crystal structure of Rb3Li2HoF9, with properties calculated at the PBE level.

abc: 6.0044 6.0044 7.6024
angles: 90.00 90.00 120.00
Space group P-3m1 (No. 164)
Unique sites:
Rb  0.0000  0.0000  0.0000 (multiplicity 1)
Rb  0.3333  0.6667  0.6918 (multiplicity 2)
Li  0.3333  0.6667  0.1905 (multiplicity 2)
Ho  0.0000  0.0000  0.5000 (multiplicity 1)
F  0.0000  0.5000  0.0000 (multiplicity 3)
F  0.1687  0.3375  0.3321 (multiplicity 6)

Calculated values
Its formation energy (no corrections) is -2981 meV/atom. For the magnetization, the calculation gives 1.2 μB per formula unit.

Below is an optimized crystal structure of Ba2GaRhN, with properties calculated at the PBE level.

abc: 5.867 5.867 3.825
angles: 90.00 90.00 90.00
Space group P4/mmm (No. 123)
Unique sites:
Ba  0.000  0.500  0.000 (multiplicity 2)
Ga  0.000  0.000  0.500 (multiplicity 1)
Rh  0.500  0.500  0.500 (multiplicity 1)
N  0.500  0.500  0.000 (multiplicity 1)

Calculated values
Its formation energy (no corrections) is -367 meV/atom. For the magnetization, the calculation gives 0.0 μB per formula unit.

Below is an optimized crystal structure of Sr3HgSb2, with properties calculated at the PBE level.

abc: 13.139 4.879 13.415
angles: 90.00 90.00 90.00
Space group Pnma (No. 62)
Unique sites:
Sr  0.054  0.250  0.115 (multiplicity 4)
Sr  0.128  0.750  0.555 (multiplicity 4)
Sr  0.197  0.250  0.807 (multiplicity 4)
Hg  0.160  0.250  0.317 (multiplicity 4)
Sb  0.013  0.750  0.327 (multiplicity 4)
Sb  0.185  0.750  0.999 (multiplicity 4)

Calculated values
Its formation energy (no corrections) is -849 meV/atom. For the magnetization, the calculation gives 0.0 μB per formula unit.

Below is an optimized crystal structure of CaEuYAl, with properties calculated at the PBE level.

abc: 7.801 7.801 7.801
angles: 90.00 90.00 90.00
Space group F-43m (No. 216)
Unique sites:
Ca  0.000  0.000  0.000 (multiplicity 4)
Eu  0.250  0.250  0.250 (multiplicity 4)
Y  0.250  0.250  0.750 (multiplicity 4)
Al  0.000  0.000  0.500 (multiplicity 4)

Calculated values
For the magnetization, the calculation gives 7.3 μB per formula unit. The energy relative to the elements is -0.0392 eV/atom.

Below is an optimized crystal structure of Na2Ta2CuSe6, with properties calculated at the PBE level.

abc: 6.605 11.166 7.290
angles: 90.00 104.83 90.00
Space group C2/m (No. 12)
Unique sites:
Na  0.000  0.180  0.000 (multiplicity 4)
Ta  0.000  0.355  0.500 (multiplicity 4)
Cu  0.000  0.000  0.500 (multiplicity 2)
Se  0.202  0.500  0.748 (multiplicity 4)
Se  0.220  0.170  0.693 (multiplicity 8)

Calculated values
Its formation energy (no corrections) is -707 meV/atom. For the magnetization, the calculation gives 1.0 μB per formula unit.

Below is an optimized crystal structure of BaGeBrO2, with properties calculated at the PBE level.

abc: 5.888 14.226 5.470
angles: 90.00 90.00 90.00
Space group Cmcm (No. 63)
Unique sites:
Ba  0.000  0.122  0.250 (multiplicity 4)
Ge  0.000  0.459  0.250 (multiplicity 4)
Br  0.000  0.257  0.750 (multiplicity 4)
O  0.209  0.500  0.000 (multiplicity 8)

Calculated values
Its formation energy (no corrections) is -1887 meV/atom. For the magnetization, the calculation gives 0.0 μB per formula unit.

- Among the records above, which one has the highest magnetization?
  CaEuYAl

- Which value of magnetization does entry 3 give?
  1.2 μB per formula unit

- The highest magnetization belongs to which entry?
  CaEuYAl

- Which of these has the highest magnetization?
  CaEuYAl